# 1
CaLa4Pb5: optimized geometry, PBE.

Output
D(E_F) ... 7.3 states/eV/cell
Calculated formation energy ... -5.8 eV/f.u.

a = 3.6714 Å, b = 3.6714 Å, c = 23.2327 Å
α = 90.00°, β = 90.00°, γ = 90.00°
Fractional positions:
Ca (0.0000, 0.0000, 0.0000)
La (0.0000, 0.0000, 0.1977)
La (0.0000, 0.0000, 0.3995)
La (0.0000, 0.0000, 0.6005)
La (0.0000, 0.0000, 0.8023)
Pb (0.5000, 0.5000, 0.0965)
Pb (0.5000, 0.5000, 0.2986)
Pb (0.5000, 0.5000, 0.5000)
Pb (0.5000, 0.5000, 0.7014)
Pb (0.5000, 0.5000, 0.9035)

---

# 2
Ac3ZrTe6: optimized geometry, PBE.

Output
D(E_F) ... 7.8 states/eV/cell
Calculated total energy ... -52.966 eV per formula unit

a = 7.6521 Å, b = 8.5594 Å, c = 11.4572 Å
α = 90.00°, β = 93.91°, γ = 90.00°
Fractional positions:
Ac (0.5524, 0.8797, 0.7362)
Ac (0.5000, 0.5000, 0.0000)
Ac (0.4476, 0.1203, 0.2638)
Ac (0.0524, 0.6203, 0.2362)
Ac (0.0000, 0.0000, 0.5000)
Ac (0.9476, 0.3797, 0.7638)
Zr (0.5000, 0.5000, 0.5000)
Zr (0.0000, 0.0000, 0.0000)
Te (0.6745, 0.1663, 0.9265)
Te (0.6505, 0.1906, 0.5665)
Te (0.6505, 0.4627, 0.2712)
Te (0.3495, 0.5373, 0.7288)
Te (0.3495, 0.8094, 0.4335)
Te (0.3255, 0.8337, 0.0735)
Te (0.1745, 0.3337, 0.4265)
Te (0.1505, 0.3094, 0.0665)
Te (0.1505, 0.0373, 0.7712)
Te (0.8495, 0.9627, 0.2288)
Te (0.8495, 0.6906, 0.9335)
Te (0.8255, 0.6663, 0.5735)

---

# 3
Ac2PrTe2O2: optimized geometry, PBE.

Output
D(E_F) ... 3.2 states/eV/cell
Calculated total energy ... -44.122 eV per formula unit

a = 4.6546 Å, b = 4.6546 Å, c = 9.2270 Å
α = 104.61°, β = 104.61°, γ = 90.00°
Fractional positions:
Ac (0.3830, 0.3830, 0.7660)
Ac (0.6170, 0.6170, 0.2340)
Pr (0.0000, 0.0000, 0.0000)
Te (0.1831, 0.1831, 0.3663)
Te (0.8169, 0.8169, 0.6337)
O (0.0000, 0.5000, 0.0000)
O (0.5000, 0.0000, 0.0000)

---

# 4
NdEr4Se5: optimized geometry, PBE.

Output
D(E_F) ... 5.0 states/eV/cell
Calculated total energy ... -57.565 eV per formula unit

a = 4.0630 Å, b = 5.7601 Å, c = 10.8314 Å
α = 105.42°, β = 100.81°, γ = 90.00°
Fractional positions:
Nd (0.0000, 0.0000, 0.0000)
Er (0.4013, 0.4013, 0.8027)
Er (0.7968, 0.7968, 0.5937)
Er (0.2032, 0.2032, 0.4063)
Er (0.5987, 0.5987, 0.1973)
Se (0.6065, 0.1065, 0.2130)
Se (0.8018, 0.3018, 0.6036)
Se (0.1982, 0.6982, 0.3964)
Se (0.0000, 0.5000, 0.0000)
Se (0.3935, 0.8935, 0.7870)

---

# 5
Ce5Sb2Pt: optimized geometry, PBE.

Output
D(E_F) ... 51.9 states/eV/cell
Excess energy over the best structure of this formula in the dataset ... 0.00 kcal/mol of atoms

a = 4.6477 Å, b = 7.9712 Å, c = 12.3405 Å
α = 90.00°, β = 90.00°, γ = 90.00°
Fractional positions:
Ce (0.0000, 0.0000, 0.5000)
Ce (0.0000, 0.5000, 0.0000)
Ce (0.0000, 0.8614, 0.2097)
Ce (0.0000, 0.1386, 0.7903)
Ce (0.0000, 0.6386, 0.7097)
Ce (0.0000, 0.3614, 0.2903)
Ce (0.5000, 0.7075, 0.4391)
Ce (0.5000, 0.2925, 0.5609)
Ce (0.5000, 0.7925, 0.9391)
Ce (0.5000, 0.2075, 0.0609)
Sb (0.5000, 0.5843, 0.1755)
Sb (0.5000, 0.4157, 0.8245)
Sb (0.5000, 0.9157, 0.6755)
Sb (0.5000, 0.0843, 0.3245)
Pt (0.0000, 0.5000, 0.5000)
Pt (0.0000, 0.0000, 0.0000)

---

# 6
K4InHg4: optimized geometry, PBE.

Output
D(E_F) ... 5.5 states/eV/cell
Calculated formation energy ... -1.4 eV/f.u.

a = 7.2801 Å, b = 9.0014 Å, c = 7.2801 Å
α = 66.15°, β = 90.00°, γ = 113.85°
Fractional positions:
K (0.1397, 0.7129, 0.4268)
K (0.5732, 0.7129, 0.8603)
K (0.4268, 0.2871, 0.5732)
K (0.8603, 0.2871, 0.1397)
In (0.0000, 0.0000, 0.0000)
Hg (0.3510, 0.2315, 0.1194)
Hg (0.8806, 0.2315, 0.6490)
Hg (0.1194, 0.7685, 0.8806)
Hg (0.6490, 0.7685, 0.3510)

---

# 7
LaNd2Ru: optimized geometry, PBE.

Output
D(E_F) ... 17.9 states/eV/cell
Calculated formation energy ... -0.9 eV/f.u.
Excess energy over the best structure of this formula in the dataset ... 0.00 kcal/mol of atoms

a = 6.5620 Å, b = 7.3482 Å, c = 9.9653 Å
α = 90.00°, β = 90.00°, γ = 90.00°
Fractional positions:
La (0.6449, 0.5547, 0.2500)
La (0.8551, 0.0547, 0.2500)
La (0.3551, 0.4453, 0.7500)
La (0.1449, 0.9453, 0.7500)
Nd (0.1729, 0.6703, 0.0678)
Nd (0.3271, 0.1703, 0.4322)
Nd (0.8271, 0.3297, 0.5678)
Nd (0.6729, 0.8297, 0.9322)
Nd (0.8271, 0.3297, 0.9322)
Nd (0.6729, 0.8297, 0.5678)
Nd (0.1729, 0.6703, 0.4322)
Nd (0.3271, 0.1703, 0.0678)
Ru (0.0376, 0.3755, 0.2500)
Ru (0.4624, 0.8755, 0.2500)
Ru (0.9624, 0.6245, 0.7500)
Ru (0.5376, 0.1245, 0.7500)

---

# 8
Pr2EuP: optimized geometry, PBE.

Output
D(E_F) ... 4.0 states/eV/cell
Calculated formation energy ... -2.7 eV/f.u.

a = 4.0376 Å, b = 4.0376 Å, c = 10.2347 Å
α = 78.62°, β = 78.62°, γ = 60.00°
Fractional positions:
Eu (0.5000, 0.5000, 0.5000)
Pr (0.2775, 0.2775, 0.1675)
Pr (0.7225, 0.7225, 0.8325)
P (0.0000, 0.0000, 0.0000)

---

# 9
HgPbN2: optimized geometry, PBE.

Output
D(E_F) ... 2.3 states/eV/cell
Excess energy over the best structure of this formula in the dataset ... 30.84 kcal/mol of atoms

a = 7.0919 Å, b = 7.0919 Å, c = 7.0919 Å
α = 28.44°, β = 28.44°, γ = 28.44°
Fractional positions:
Pb (0.0000, 0.0000, 0.0000)
Hg (0.5000, 0.5000, 0.5000)
N (0.8855, 0.8855, 0.8855)
N (0.1145, 0.1145, 0.1145)

---

# 10
Fe2ReOs: optimized geometry, PBE.

Output
D(E_F) ... 4.5 states/eV/cell
Calculated formation energy ... 0.4 eV/f.u.

a = 2.6790 Å, b = 3.7223 Å, c = 5.2227 Å
α = 90.00°, β = 90.00°, γ = 90.00°
Fractional positions:
Fe (0.0000, 0.0000, 0.0110)
Fe (0.5000, 0.5000, 0.2395)
Os (0.0000, 0.0000, 0.4894)
Re (0.5000, 0.5000, 0.7601)